(1)
# PBE Na2VIn, optimized geometry
# formation enthalpy at 0 K	2.6	eV per formula unit
data_Na2VIn
_symmetry_space_group_name_H-M 'I -4 2 d'
_symmetry_Int_Tables_number 122
_symmetry_space_group_name_Hall 'I -4 2bw'
_cell_length_a 8.5483
_cell_length_b 8.5483
_cell_length_c 5.8040
_cell_angle_alpha 90.00
_cell_angle_beta 90.00
_cell_angle_gamma 90.00
loop_
_atom_site_label
_atom_site_fract_x
_atom_site_fract_y
_atom_site_fract_z
Na1 0.2503 0.2500 0.1250
V1 0.0000 0.0000 0.0000
In1 0.0000 0.0000 0.5000

=====

(2)
# PBE HoScAlRe, optimized geometry
# formation enthalpy at 0 K	-0.5	eV per formula unit
data_HoScAlRe
_symmetry_space_group_name_H-M 'F -4 3 m'
_symmetry_Int_Tables_number 216
_symmetry_space_group_name_Hall 'F -4 2 3'
_cell_length_a 6.8047
_cell_length_b 6.8047
_cell_length_c 6.8047
_cell_angle_alpha 90.00
_cell_angle_beta 90.00
_cell_angle_gamma 90.00
loop_
_atom_site_label
_atom_site_fract_x
_atom_site_fract_y
_atom_site_fract_z
Ho1 0.0000 0.0000 0.0000
Sc1 0.0000 0.0000 0.5000
Al1 0.2500 0.2500 0.7500
Re1 0.2500 0.2500 0.2500

=====

(3)
# PBE Y8Ho2Zn, optimized geometry
# formation enthalpy at 0 K	-0.3	eV per formula unit
data_Y8Ho2Zn
_symmetry_space_group_name_H-M 'C 1 2/m 1'
_symmetry_Int_Tables_number 12
_symmetry_space_group_name_Hall '-C 2y'
_cell_length_a 19.2071
_cell_length_b 5.5155
_cell_length_c 6.3896
_cell_angle_alpha 90.00
_cell_angle_beta 94.63
_cell_angle_gamma 90.00
loop_
_atom_site_label
_atom_site_fract_x
_atom_site_fract_y
_atom_site_fract_z
Y1 0.0432 0.0000 0.2550
Y2 0.0768 0.5000 0.6114
Y3 0.1559 0.5000 0.1278
Y4 0.1567 0.0000 0.8055
Ho1 0.2424 0.0000 0.3332
Zn1 0.0000 0.5000 0.0000

=====

(4)
# PBE Ce8P3Se4O, optimized geometry
# formation energy without anion corrections	-1.798	eV per atom
data_Ce8P3Se4O
_symmetry_space_group_name_H-M 'R -3 m'
_symmetry_Int_Tables_number 166
_symmetry_space_group_name_Hall '-R 3 2"'
_cell_length_a 8.1148
_cell_length_b 8.1148
_cell_length_c 20.3472
_cell_angle_alpha 90.00
_cell_angle_beta 90.00
_cell_angle_gamma 120.00
loop_
_atom_site_label
_atom_site_fract_x
_atom_site_fract_y
_atom_site_fract_z
Ce1 0.0000 0.0000 0.2451
Ce2 0.0151 0.5076 0.2411
P1 0.0000 0.5000 0.5000
Se1 0.0000 0.0000 0.0000
Se2 0.0000 0.5000 0.0000
O1 0.0000 0.0000 0.5000

=====

Number 1: magnetization 4.08 μB/f.u., V 424.1 Å³ per cell. Number 2: magnetization 0.00 μB/f.u., V 315.1 Å³ per cell. Number 3: magnetization 0.00 μB/f.u., V 674.7 Å³ per cell. Number 4: magnetization 5.73 μB/f.u., V 1160.4 Å³ per cell.